# TiVMo2O

TiVMo2O after structural relaxation (GGA+U, Alexandria via LeMat-Bulk).

For the density of states at the Fermi level, the calculation gives 3.31 states/eV/cell. The total energy comes out at -29.6 eV per cell.

It has space group P4/mmm (No. 123), with a = 5.5528 Å, b = 5.5528 Å, c = 3.6916 Å, α = 90.00°, β = 90.00° and γ = 90.00°. The asymmetric unit holds Ti at (0.0000, 0.0000, 0.0000), V at (0.5000, 0.5000, 0.5000), Mo at (0.0000, 0.5000, 0.0000) and O at (0.0000, 0.0000, 0.5000).